Record 1
Compound: YCr2
Source: Alexandria via LeMat-Bulk
Functional: GGA-PBE
Structure: relaxed

Space group: No. 139
Total magnetization (μB per atom): 0.00
ΔH_f (0 K) (eV per formula unit): 1.227
Uncorrected energy (eV per atom): -8.1612
V (Å³/cell): 52.38

Cell lengths 5.8676, 5.8676, 5.8676 Å; angles 149.34, 149.34, 43.91 degrees
With the nearest neighbours (Å) after each atom.
Element x y z (fractional)
Y 0.0000 0.0000 0.0000  4 Y 3.10, 10 Cr 3.13-3.19
Cr 0.2872 0.2872 0.0000  4 Cr 2.34
Cr 0.7128 0.7128 0.0000  4 Cr 2.34



Record 2
Compound: Y4Cr
Source: Alexandria via LeMat-Bulk
Functional: GGA-PBE
Structure: relaxed

Space group: No. 139
Total magnetization (μB per atom): 0.78
ΔH_f (0 K) (eV per formula unit): 3.543
Uncorrected energy (eV per atom): -6.3873
Relative energy among the computed polymorphs (eV/f.u.): 1.642
V (Å³/cell): 159.23

Cell lengths 9.4185, 9.4185, 9.4185 Å; angles 154.10, 154.10, 36.96 degrees
With the nearest neighbours (Å) after each atom.
Element x y z (fractional)
Y 0.0888 0.0888 0.0000  1 Y 3.17, 4 Cr 3.38
Y 0.2500 0.7500 0.5000  4 Y 2.99
Y 0.7500 0.2500 0.5000  4 Y 2.99
Y 0.9112 0.9112 0.0000  1 Y 3.17, 4 Cr 3.38
Cr 0.5000 0.5000 0.0000  8 Y 3.38



Record 3
Compound: YCr
Source: Alexandria via LeMat-Bulk
Functional: GGA-PBE
Structure: relaxed

Space group: No. 129
Total magnetization (μB per atom): 2.04
ΔH_f (0 K) (eV per formula unit): 1.256
Uncorrected energy (eV per atom): -7.4159
V (Å³/cell): 98.45

Cell lengths 3.8411, 3.8411, 6.6728 Å; angles 90.00, 90.00, 90.00 degrees
With the nearest neighbours (Å) after each atom.
Element x y z (fractional)
Y 0.2500 0.2500 0.1692  5 Cr 3.03-3.06
Y 0.7500 0.7500 0.8308  5 Cr 3.03-3.06
Cr 0.2500 0.2500 0.6279  5 Y 3.03-3.06, 4 Cr 3.21
Cr 0.7500 0.7500 0.3721  5 Y 3.03-3.06, 4 Cr 3.21



Record 4
Compound: Y3Cr2
Source: Alexandria via LeMat-Bulk
Functional: GGA-PBE
Structure: relaxed

Space group: No. 166
Total magnetization (μB per atom): 1.26
ΔH_f (0 K) (eV per formula unit): 2.837
Uncorrected energy (eV per atom): -7.1605
Relative energy among the computed polymorphs (eV/f.u.): 0.633
V (Å³/cell): 127.74

Cell lengths 12.4813, 12.4813, 12.4813 Å; angles 15.94, 15.94, 15.94 degrees
With the nearest neighbours (Å) after each atom.
Element x y z (fractional)
Y 0.0000 0.0000 0.0000  6 Cr 3.07
Y 0.2092 0.2092 0.2092  3 Cr 3.01
Y 0.7908 0.7908 0.7908  3 Cr 3.01
Cr 0.3964 0.3964 0.3964  6 Y 3.01-3.07
Cr 0.6036 0.6036 0.6036  6 Y 3.01-3.07



Record 5
Compound: YCr3
Source: Alexandria via LeMat-Bulk
Functional: GGA-PBE
Structure: relaxed

Space group: No. 10
Total magnetization (μB per atom): 0.00
ΔH_f (0 K) (eV per formula unit): 1.880
Uncorrected energy (eV per atom): -8.3635
V (Å³/cell): 65.75

Cell lengths 2.9655, 3.6156, 6.2467 Å; angles 90.00, 100.98, 90.00 degrees
With the nearest neighbours (Å) after each atom.
Element x y z (fractional)
Y 0.0000 0.0000 0.0000  2 Y 2.97, 10 Cr 3.05-3.21
Cr 0.0000 0.0000 0.5000  4 Cr 2.31
Cr 0.4206 0.5000 0.6609  3 Cr 2.15-2.31
Cr 0.5794 0.5000 0.3391  3 Cr 2.15-2.31



Record 6
Compound: YCr3
Source: Alexandria via LeMat-Bulk
Functional: GGA-PBE
Structure: relaxed

Space group: No. 225
Total magnetization (μB per atom): 0.74
ΔH_f (0 K) (eV per formula unit): 1.986
Uncorrected energy (eV per atom): -8.3371
V (Å³/cell): 70.23

Cell lengths 4.6310, 4.6310, 4.6310 Å; angles 60.00, 60.00, 60.00 degrees
With the nearest neighbours (Å) after each atom.
Element x y z (fractional)
Y 0.0000 0.0000 0.0000  8 Cr 2.84
Cr 0.2500 0.2500 0.2500  4 Cr 2.84, 4 Y 2.84
Cr 0.5000 0.5000 0.5000  8 Cr 2.84
Cr 0.7500 0.7500 0.7500  4 Cr 2.84, 4 Y 2.84



Record 7
Compound: YCr
Source: Alexandria via LeMat-Bulk
Functional: GGA-PBE
Structure: relaxed

Space group: No. 12
Total magnetization (μB per atom): 0.43
ΔH_f (0 K) (eV per formula unit): 0.596
Uncorrected energy (eV per atom): -7.7459
V (Å³/cell): 138.36

Cell lengths 5.8375, 5.8375, 6.6490 Å; angles 90.45, 90.45, 37.64 degrees
With the nearest neighbours (Å) after each atom.
Element x y z (fractional)
Y 0.0000 0.0000 0.0000  6 Cr 2.97-3.32
Y 0.2847 0.2847 0.2760  6 Cr 3.04-3.37
Y 0.7153 0.7153 0.7240  6 Cr 3.04-3.37
Cr 0.0000 0.0000 0.5000  4 Cr 2.34
Cr 0.4294 0.4294 0.6733  2 Cr 2.34
Cr 0.5706 0.5706 0.3267  2 Cr 2.34



Record 8
Compound: Y3Cr
Source: Alexandria via LeMat-Bulk
Functional: GGA-PBE
Structure: relaxed

Space group: No. 71
Total magnetization (μB per atom): 0.85
ΔH_f (0 K) (eV per formula unit): 0.840
Uncorrected energy (eV per atom): -7.0439
V (Å³/cell): 111.16

Cell lengths 6.4356, 6.4356, 6.4356 Å; angles 146.34, 130.55, 61.15 degrees
With the nearest neighbours (Å) after each atom.
Element x y z (fractional)
Y 0.0000 0.0000 0.0000  4 Cr 3.27, 4 Y 3.57
Y 0.2884 0.7884 0.5000  2 Cr 2.99
Y 0.7116 0.2116 0.5000  2 Cr 2.99
Cr 0.5000 0.5000 0.0000  8 Y 2.99-3.27



Record 9
Compound: YCr
Source: Alexandria via LeMat-Bulk
Functional: GGA-PBE
Structure: relaxed

Space group: No. 141
Total magnetization (μB per atom): 1.82
ΔH_f (0 K) (eV per formula unit): 1.118
Uncorrected energy (eV per atom): -7.4845
V (Å³/cell): 93.53

Cell lengths 5.8966, 5.8966, 5.8966 Å; angles 137.20, 137.20, 62.13 degrees
With the nearest neighbours (Å) after each atom.
Element x y z (fractional)
Y 0.3750 0.6250 0.7500  8 Cr 3.04-3.32, 4 Y 3.32
Y 0.6250 0.3750 0.2500  8 Cr 3.04-3.32, 4 Y 3.32
Cr 0.1250 0.8750 0.2500  8 Y 3.04-3.32, 4 Cr 3.32
Cr 0.8750 0.1250 0.7500  8 Y 3.04-3.32, 4 Cr 3.32



Record 10
Compound: YCr3
Source: Alexandria via LeMat-Bulk
Functional: GGA-PBE
Structure: relaxed

Space group: No. 25
Total magnetization (μB per atom): 0.31
ΔH_f (0 K) (eV per formula unit): 2.600
Uncorrected energy (eV per atom): -8.1836
V (Å³/cell): 70.79

Cell lengths 3.1038, 4.3302, 5.2668 Å; angles 90.00, 90.00, 90.00 degrees
With the nearest neighbours (Å) after each atom.
Element x y z (fractional)
Y 0.0000 0.0000 0.0000  10 Cr 3.04-3.11, 2 Y 3.10
Cr 0.0000 0.5000 0.5751  2 Cr 2.20
Cr 0.5000 0.0000 0.4990  6 Cr 2.45-2.69
Cr 0.5000 0.5000 0.2795  4 Cr 2.20-2.45



Record 11
Compound: YCr2
Source: Alexandria via LeMat-Bulk
Functional: GGA-PBE
Structure: relaxed

Space group: No. 12
Total magnetization (μB per atom): 0.36
ΔH_f (0 K) (eV per formula unit): 1.330
Uncorrected energy (eV per atom): -8.1269
V (Å³/cell): 109.41

Cell lengths 4.8679, 4.8679, 8.2601 Å; angles 108.49, 108.49, 36.37 degrees
With the nearest neighbours (Å) after each atom.
Element x y z (fractional)
Y 0.1672 0.1672 0.1435  5 Cr 2.90-3.00, 3 Y 3.04-3.21
Y 0.8328 0.8328 0.8565  5 Cr 2.90-3.00, 3 Y 3.04-3.21
Cr 0.1603 0.1603 0.5391  6 Cr 2.41-2.54
Cr 0.4939 0.4939 0.3333  4 Cr 2.41-2.54
Cr 0.5061 0.5061 0.6667  4 Cr 2.41-2.54
Cr 0.8397 0.8397 0.4609  6 Cr 2.41-2.54



Record 12
Compound: Y3Cr
Source: Alexandria via LeMat-Bulk
Functional: GGA-PBE
Structure: relaxed

Space group: No. 25
Total magnetization (μB per atom): 0.78
ΔH_f (0 K) (eV per formula unit): 1.314
Uncorrected energy (eV per atom): -6.9254
V (Å³/cell): 112.30

Cell lengths 3.6597, 5.3769, 5.7071 Å; angles 90.00, 90.00, 90.00 degrees
With the nearest neighbours (Å) after each atom.
Element x y z (fractional)
Y 0.0000 0.0000 0.0000  4 Cr 3.31-3.47, 8 Y 3.34-3.66
Y 0.0000 0.5000 0.3853  8 Y 3.29-3.66, 4 Cr 3.34
Y 0.5000 0.5000 0.8641  10 Y 3.29-3.66, 2 Cr 3.34
Cr 0.5000 0.0000 0.5161  10 Y 3.31-3.47, 2 Cr 3.66



Record 13
Compound: Y3Cr
Source: Alexandria via LeMat-Bulk
Functional: GGA-PBE
Structure: relaxed

Space group: No. 194
Total magnetization (μB per atom): 0.71
ΔH_f (0 K) (eV per formula unit): 1.105
Uncorrected energy (eV per atom): -6.9777
V (Å³/cell): 221.42

Cell lengths 6.9405, 6.9405, 5.3078 Å; angles 90.00, 90.00, 120.00 degrees
With the nearest neighbours (Å) after each atom.
Element x y z (fractional)
Y 0.1745 0.3490 0.2500  4 Cr 3.27-3.47, 8 Y 3.31-3.63
Y 0.1745 0.8255 0.2500  4 Cr 3.27-3.47, 8 Y 3.31-3.63
Y 0.3490 0.1745 0.7500  4 Cr 3.27-3.47, 8 Y 3.31-3.63
Y 0.6510 0.8255 0.2500  4 Cr 3.27-3.47, 8 Y 3.31-3.63
Y 0.8255 0.1745 0.7500  4 Cr 3.27-3.47, 8 Y 3.31-3.63
Y 0.8255 0.6510 0.7500  4 Cr 3.27-3.47, 8 Y 3.31-3.63
Cr 0.3333 0.6667 0.7500  12 Y 3.27-3.47
Cr 0.6667 0.3333 0.2500  12 Y 3.27-3.47



Record 14
Compound: YCr3
Source: Alexandria via LeMat-Bulk
Functional: GGA-PBE
Structure: relaxed

Space group: No. 139
Total magnetization (μB per atom): 0.86
ΔH_f (0 K) (eV per formula unit): 2.423
Uncorrected energy (eV per atom): -8.2277
V (Å³/cell): 142.08

Cell lengths 8.3261, 8.3261, 8.3261 Å; angles 150.21, 150.21, 42.63 degrees
With the nearest neighbours (Å) after each atom.
Element x y z (fractional)
Y 0.1229 0.1229 0.0000  12 Cr 2.87-3.08
Y 0.8771 0.8771 0.0000  12 Cr 2.87-3.08
Cr 0.0000 0.5000 0.5000  4 Y 2.87, 4 Cr 3.03
Cr 0.2500 0.7500 0.5000  4 Cr 2.56
Cr 0.3410 0.3410 0.0000  4 Cr 2.56
Cr 0.5000 0.0000 0.5000  4 Y 2.87, 4 Cr 3.03
Cr 0.6590 0.6590 0.0000  4 Cr 2.56
Cr 0.7500 0.2500 0.5000  4 Cr 2.56



Record 15
Compound: Y4Cr3
Source: Alexandria via LeMat-Bulk
Functional: GGA-PBE
Structure: relaxed

Space group: No. 139
Total magnetization (μB per atom): 1.56
ΔH_f (0 K) (eV per formula unit): 3.424
Uncorrected energy (eV per atom): -7.3290
Relative energy among the computed polymorphs (eV/f.u.): 0.000
V (Å³/cell): 177.32

Cell lengths 12.8656, 12.8656, 12.8656 Å; angles 163.23, 163.23, 23.81 degrees
With the nearest neighbours (Å) after each atom.
Element x y z (fractional)
Y 0.0661 0.0661 0.0000  4 Cr 3.13, 1 Y 3.33
Y 0.3396 0.3396 0.0000  5 Cr 3.01-3.09
Y 0.6604 0.6604 0.0000  5 Cr 3.01-3.09
Y 0.9339 0.9339 0.0000  4 Cr 3.13, 1 Y 3.33
Cr 0.2170 0.2170 0.0000  5 Y 3.01-3.09, 4 Cr 3.13
Cr 0.5000 0.5000 0.0000  8 Y 3.13
Cr 0.7830 0.7830 0.0000  5 Y 3.01-3.09, 4 Cr 3.13



Record 16
Compound: Y3Cr
Source: Alexandria via LeMat-Bulk
Functional: GGA-PBE
Structure: relaxed

Space group: No. 62
Total magnetization (μB per atom): 0.75
ΔH_f (0 K) (eV per formula unit): 0.897
Uncorrected energy (eV per atom): -7.0295
V (Å³/cell): 448.51

Cell lengths 6.8239, 10.0675, 6.5286 Å; angles 90.00, 90.00, 90.00 degrees
With the nearest neighbours (Å) after each atom.
Element x y z (fractional)
Y 0.0160 0.2500 0.0946  2 Cr 2.94-3.01
Y 0.1890 0.0405 0.6848  2 Cr 2.92-3.18
Y 0.1890 0.4595 0.6848  2 Cr 2.92-3.18
Y 0.3110 0.5405 0.1848  2 Cr 2.92-3.18
Y 0.3110 0.9595 0.1848  2 Cr 2.92-3.18
Y 0.4840 0.7500 0.5946  2 Cr 2.94-3.01
Y 0.5160 0.2500 0.4054  2 Cr 2.94-3.01
Y 0.6890 0.0405 0.8152  2 Cr 2.92-3.18
Y 0.6890 0.4595 0.8152  2 Cr 2.92-3.18
Y 0.8110 0.5405 0.3152  2 Cr 2.92-3.18
Y 0.8110 0.9595 0.3152  2 Cr 2.92-3.18
Y 0.9840 0.7500 0.9054  2 Cr 2.94-3.01
Cr 0.0746 0.7500 0.4541  6 Y 2.92-3.18
Cr 0.4254 0.2500 0.9541  6 Y 2.92-3.18
Cr 0.5746 0.7500 0.0459  6 Y 2.92-3.18
Cr 0.9254 0.2500 0.5459  6 Y 2.92-3.18



Record 17
Compound: YCr
Source: Alexandria via LeMat-Bulk
Functional: GGA-PBE
Structure: relaxed

Space group: No. 136
Total magnetization (μB per atom): 0.22
ΔH_f (0 K) (eV per formula unit): 1.884
Uncorrected energy (eV per atom): -7.1016
V (Å³/cell): 196.20

Cell lengths 5.8009, 5.8009, 5.8304 Å; angles 90.00, 90.00, 90.00 degrees
With the nearest neighbours (Å) after each atom.
Element x y z (fractional)
Y 0.1842 0.1842 0.0000  4 Cr 2.76-2.97, 1 Y 3.02
Y 0.3158 0.6842 0.5000  4 Cr 2.76-2.97, 1 Y 3.02
Y 0.6842 0.3158 0.5000  4 Cr 2.76-2.97, 1 Y 3.02
Y 0.8158 0.8158 0.0000  4 Cr 2.76-2.97, 1 Y 3.02
Cr 0.1161 0.1161 0.5000  1 Cr 1.90
Cr 0.3839 0.6161 0.0000  1 Cr 1.90
Cr 0.6161 0.3839 0.0000  1 Cr 1.90
Cr 0.8839 0.8839 0.5000  1 Cr 1.90



Record 18
Compound: Y2Cr3
Source: Alexandria via LeMat-Bulk
Functional: GGA-PBE
Structure: relaxed

Space group: No. 166
Total magnetization (μB per atom): 0.88
ΔH_f (0 K) (eV per formula unit): 4.613
Uncorrected energy (eV per atom): -7.4371
Relative energy among the computed polymorphs (eV/f.u.): 0.000
V (Å³/cell): 111.83

Cell lengths 12.1004, 12.1004, 12.1004 Å; angles 15.61, 15.61, 15.61 degrees
With the nearest neighbours (Å) after each atom.
Element x y z (fractional)
Y 0.1002 0.1002 0.1002  6 Cr 3.05-3.12, 6 Y 3.29
Y 0.8998 0.8998 0.8998  6 Cr 3.05-3.12, 6 Y 3.29
Cr 0.3022 0.3022 0.3022  3 Cr 2.93, 3 Y 3.12
Cr 0.5000 0.5000 0.5000  6 Y 3.05, 6 Cr 3.29
Cr 0.6978 0.6978 0.6978  3 Cr 2.93, 3 Y 3.12



Record 19
Compound: YCr
Source: Alexandria via LeMat-Bulk
Functional: GGA-PBE
Structure: relaxed

Space group: No. 74
Total magnetization (μB per atom): 1.64
ΔH_f (0 K) (eV per formula unit): 1.045
Uncorrected energy (eV per atom): -7.5210
V (Å³/cell): 92.87

Cell lengths 6.0666, 6.0666, 6.0666 Å; angles 145.92, 131.45, 60.64 degrees
With the nearest neighbours (Å) after each atom.
Element x y z (fractional)
Y 0.3580 0.1080 0.2500  6 Cr 3.09-3.19, 2 Y 3.37
Y 0.6420 0.8920 0.7500  6 Cr 3.09-3.19, 2 Y 3.37
Cr 0.1053 0.3553 0.7500  2 Cr 2.83, 4 Y 3.09
Cr 0.8947 0.6447 0.2500  2 Cr 2.83, 4 Y 3.09



Record 20
Compound: YCr2
Source: Alexandria via LeMat-Bulk
Functional: GGA-PBE
Structure: relaxed

Space group: No. 191
Total magnetization (μB per atom): 0.00
ΔH_f (0 K) (eV per formula unit): 1.384
Uncorrected energy (eV per atom): -8.1090
V (Å³/cell): 56.47

Cell lengths 3.7101, 3.7101, 4.7369 Å; angles 90.00, 90.00, 120.00 degrees
With the nearest neighbours (Å) after each atom.
Element x y z (fractional)
Y 0.0000 0.0000 0.0000  12 Cr 3.19
Cr 0.3333 0.6667 0.5000  3 Cr 2.14
Cr 0.6667 0.3333 0.5000  3 Cr 2.14